Entry 1:
Computed, not measured: a geometry-optimized MgTeCl2 structure at the PBE-GGA level of DFT.

As for the space group: No. 166. The excess energy over the best structure of this formula in the dataset is 0 meV per atom. As for the raw formation energy: -1.193 eV/atom. For the spin magnetization, the calculation gives 0.4 μB per cell.

Cell lengths 11.872, 11.872, 11.872 Å; angles 16.78, 16.78, 16.78 degrees
Fractional coordinates of all 4 atoms:
Cl 0.542 0.542 0.542
Mg 0.250 0.250 0.250
Cl 0.958 0.958 0.958
Te 0.750 0.750 0.750

Entry 2:
Computed, not measured: a geometry-optimized Sm12Tl5Ni2 structure at the PBE-GGA level of DFT.

As for the space group: No. 12. For the energy of formation from the pure elements, the calculation gives -161 kJ/mol of formula units. For the spin magnetization, the calculation gives 0.3 μB per cell.

Cell lengths 7.723, 9.443, 9.799 Å; angles 103.92, 90.00, 114.14 degrees
Fractional coordinates of all 19 atoms:
Tl 0.693 0.385 0.364
Sm 0.988 0.977 0.170
Sm 0.500 0.000 0.746
Sm 0.898 0.312 0.088
Sm 0.606 0.694 0.419
Tl 0.000 0.000 0.500
Tl 0.307 0.615 0.636
Tl 0.307 0.615 0.157
Sm 0.586 0.688 0.912
Tl 0.693 0.385 0.843
Sm 0.102 0.688 0.912
Sm 0.087 0.694 0.419
Sm 0.012 0.023 0.830
Sm 0.500 0.000 0.254
Sm 0.913 0.306 0.581
Sm 0.414 0.312 0.088
Sm 0.394 0.306 0.581
Ni 0.325 0.000 0.000
Ni 0.675 0.000 0.000

Entry 3:
Computed, not measured: a geometry-optimized KEu2Hg structure at the PBE-GGA level of DFT.

As for the space group: No. 123. For the energy of formation from the pure elements, the calculation gives -78 kJ/mol of formula units. For the spin magnetization, the calculation gives 14.7 μB per cell.

Cell lengths 3.976, 3.976, 10.572 Å; angles 90.00, 90.00, 90.00 degrees
Fractional coordinates of all 4 atoms:
Hg 0.500 0.500 0.000
Eu 0.000 0.000 0.828
Eu 0.000 0.000 0.172
K 0.500 0.500 0.500

Entry 4:
Computed, not measured: a geometry-optimized TaPCl2 structure at the PBE-GGA level of DFT.

As for the space group: No. 12. The excess energy over the best structure of this formula in the dataset is 978 meV per atom. As for the raw formation energy: 0.330 eV/atom. For the spin magnetization, the calculation gives 0.0 μB per cell.

Cell lengths 5.223, 5.223, 3.616 Å; angles 70.89, 70.89, 115.36 degrees
Fractional coordinates of all 4 atoms:
P 0.500 0.000 0.500
Cl 0.000 0.000 0.000
Ta 0.000 0.500 0.500
Cl 0.500 0.500 0.000

Entry 5:
Computed, not measured: a geometry-optimized Na2IF structure at the PBE-GGA level of DFT.

As for the space group: No. 129. The excess energy over the best structure of this formula in the dataset is 0 meV per atom. As for the raw formation energy: -1.969 eV/atom. For the spin magnetization, the calculation gives 0.0 μB per cell.

Cell lengths 4.507, 4.507, 9.213 Å; angles 90.00, 90.00, 90.00 degrees
Fractional coordinates of all 8 atoms:
Na 0.250 0.750 0.500
I 0.250 0.250 0.822
I 0.750 0.750 0.178
F 0.250 0.250 0.427
F 0.750 0.750 0.573
Na 0.750 0.250 0.500
Na 0.250 0.250 0.180
Na 0.750 0.750 0.820

Entry 6:
Computed, not measured: a geometry-optimized TiGaAgPd2 structure at the PBE-GGA level of DFT.

As for the space group: No. 123. For the energy of formation from the pure elements, the calculation gives 238 kJ/mol of formula units. For the spin magnetization, the calculation gives 0.0 μB per cell.

Cell lengths 4.634, 4.747, 4.634 Å; angles 90.00, 90.00, 90.00 degrees
Fractional coordinates of all 5 atoms:
Ga 0.000 0.000 0.000
Pd 0.000 0.000 0.500
Ti 0.000 0.500 0.000
Ag 0.500 0.500 0.500
Pd 0.500 0.000 0.000

Entry 7:
Computed, not measured: a geometry-optimized LaSeBr2 structure at the PBE-GGA level of DFT.

As for the space group: No. 166. The excess energy over the best structure of this formula in the dataset is 634 meV per atom. As for the raw formation energy: -0.831 eV/atom. For the spin magnetization, the calculation gives 1.3 μB per cell.

Cell lengths 9.892, 9.892, 9.892 Å; angles 24.26, 24.26, 24.26 degrees
Fractional coordinates of all 4 atoms:
La 0.250 0.250 0.250
Se 0.750 0.750 0.750
Br 0.980 0.980 0.980
Br 0.520 0.520 0.520

Entry 8:
Computed, not measured: a geometry-optimized La4Sm5Er structure at the PBE-GGA level of DFT.

As for the space group: No. 107. For the energy of formation from the pure elements, the calculation gives 198 kJ/mol of formula units. The excess energy over the best structure of this formula in the dataset is 44 meV per atom. For the spin magnetization, the calculation gives 0.0 μB per cell.

Cell lengths 6.293, 8.138, 8.138 Å; angles 81.40, 67.25, 67.25 degrees
Fractional coordinates of all 10 atoms:
La 0.429 0.676 0.325
Sm 0.157 0.000 0.622
Er 0.225 0.000 0.000
Sm 0.779 0.000 0.378
La 0.754 0.675 0.676
Sm 0.157 0.622 0.000
Sm 0.779 0.378 0.000
La 0.430 0.324 0.675
Sm 0.695 0.000 0.000
La 0.105 0.325 0.324

Entry 9:
Computed, not measured: a geometry-optimized GdScRh4 structure at the PBE-GGA level of DFT.

As for the space group: No. 216. For the energy of formation from the pure elements, the calculation gives -400 kJ/mol of formula units. For the spin magnetization, the calculation gives 7.1 μB per cell.

Cell lengths 5.285, 5.285, 5.285 Å; angles 60.00, 60.00, 60.00 degrees
Fractional coordinates of all 6 atoms:
Rh 0.124 0.625 0.625
Gd 0.250 0.250 0.250
Rh 0.625 0.625 0.625
Sc 0.000 0.000 0.000
Rh 0.625 0.124 0.625
Rh 0.625 0.625 0.124

Entry 10:
Computed, not measured: a geometry-optimized CaY2P structure at the PBE-GGA level of DFT.

As for the space group: No. 160. For the energy of formation from the pure elements, the calculation gives -223 kJ/mol of formula units. For the spin magnetization, the calculation gives 1.1 μB per cell.

Cell lengths 9.878, 9.878, 9.878 Å; angles 22.68, 22.68, 22.68 degrees
Fractional coordinates of all 4 atoms:
P 0.746 0.746 0.746
Ca 0.472 0.472 0.472
Y 0.255 0.255 0.255
Y 0.026 0.026 0.026

> Which of these has the highest spin magnetization?

KEu2Hg